CoSb GGA-PBE relaxed; E_form (uncorrected) = 5.3 kJ per mole of atoms; DOS(E_F) = 0.499 states/eV per atom
1.0
-2.9728 -3.4744 -0.6835
-1.9671 -3.1387 2.7668
-6.4683 2.3296 1.6589
Co Sb
3 3
Direct
0.8939 0.8939 0.9695 Co
0.6896 0.6896 0.7120 Co
0.6615 0.6615 0.3372 Co
0.3871 0.3871 0.2625 Sb
0.0122 0.0122 0.5887 Sb
0.1890 0.1890 0.9634 Sb